## KHfCrO4 (PBE+U)

Data for an optimized crystal structure of KHfCrO4.

Cell and atoms, written as POSCAR:
```
KHfCrO4
1.0
-3.267 3.310 4.579
3.267 -3.310 4.579
3.267 3.310 -4.579
K Hf Cr O
2 2 2 8
direct
0.379 0.129 0.250 K
0.621 0.871 0.750 K
0.000 0.500 0.500 Hf
0.500 0.500 0.000 Hf
0.000 0.000 0.500 Cr
0.000 0.500 0.000 Cr
0.172 0.727 0.445 O
0.219 0.273 0.945 O
0.230 0.278 0.548 O
0.230 0.682 0.952 O
0.770 0.318 0.048 O
0.770 0.722 0.452 O
0.781 0.727 0.055 O
0.828 0.273 0.555 O
```

Summary:
calculated total energy	-110.64	eV for the cell shown
SG	Imma, No. 74